No. 1
The following is a PBE-GGA calculation of an optimized crystal structure of CaAcPm, from Alexandria via LeMat-Bulk.

Cell and atoms, written as extended XYZ:
```
3
Lattice="-0.731 -1.952 3.278 -0.835 -3.175 -2.077 8.458 0.304 -0.234" Properties=species:S:1:pos:R:3 pbc="T T T"
Ac 1.908 -3.356 0.729
Ca 6.807 -4.798 0.963
Pm 5.067 -1.492 0.242
```

## Properties
Space-group type: I4mm
Formation enthalpy at 0 K in meV/atom: 35
Distance to the lowest polymorph of the same formula in kJ/mol of atoms: 0.00



No. 2
The following is a PBE-GGA calculation of an optimized crystal structure of K2CaFe2, from Alexandria via LeMat-Bulk.

Cell and atoms, written as extended XYZ:
```
10
Lattice="-5.297 5.166 1.607 -2.046 -3.995 6.098 3.896 2.981 3.260" Properties=species:S:1:pos:R:3 pbc="T T T"
K -0.355 -0.303 6.022
K -3.313 1.675 7.749
K -3.092 4.454 4.943
K -0.134 2.476 3.216
Ca 0.000 0.000 0.000
Ca -3.671 0.585 3.853
Fe -3.986 -1.525 6.158
Fe -6.006 2.284 5.090
Fe -3.357 2.696 1.547
Fe -1.337 -1.114 2.616
```

## Properties
Space-group type: P4/mbm
Formation enthalpy at 0 K in meV/atom: 855
Distance to the lowest polymorph of the same formula in kJ/mol of atoms: 1.11



No. 3
The following is a PBE-GGA calculation of an optimized crystal structure of Zr2CdW, from Alexandria via LeMat-Bulk.

Cell and atoms, written as extended XYZ:
```
4
Lattice="-2.142 -0.948 1.877 -2.042 -1.948 -3.314 3.250 -5.224 1.068" Properties=species:S:1:pos:R:3 pbc="T T T"
Cd 1.641 -2.637 0.539
W 0.376 -5.414 0.092
Zr 3.188 -5.124 1.048
Zr -1.262 -2.783 -0.446
```

## Properties
Space-group type: Pmm2
Formation enthalpy at 0 K in meV/atom: 307



No. 4
The following is a PBE-GGA calculation of an optimized crystal structure of PaAl11Co, from Alexandria via LeMat-Bulk.

Cell and atoms, written as extended XYZ:
```
13
Lattice="-3.789 -2.836 2.062 -3.970 -2.734 -5.106 1.801 -6.475 0.865" Properties=species:S:1:pos:R:3 pbc="T T T"
Pa 0.000 0.000 0.000
Al -1.609 -2.800 -0.368
Al -4.348 -9.245 -1.811
Al -4.592 -4.902 -2.746
Al -1.366 -7.143 0.567
Al -2.734 -7.030 -1.955
Al -3.223 -5.015 -0.224
Al -3.962 -8.016 0.755
Al -1.996 -4.030 -2.935
Al -1.985 -1.367 -2.553
Al -0.994 -4.656 1.464
Al 0.901 -3.237 0.433
Co -3.879 -2.785 -1.522
```

## Properties
Space-group type: C2/m
Formation enthalpy at 0 K in meV/atom: -175



No. 5
The following is a PBE-GGA calculation of an optimized crystal structure of KMnBr2, from Alexandria via LeMat-Bulk.

Cell and atoms, written as extended XYZ:
```
4
Lattice="-2.048 4.934 1.199 -5.013 -1.759 -1.322 -0.537 -1.060 3.447" Properties=species:S:1:pos:R:3 pbc="T T T"
Br 0.000 0.000 0.000
Br -3.531 1.587 -0.062
K -1.292 1.937 2.323
Mn -2.775 -1.410 1.063
```

## Properties
Space-group type: P4/mmm
Distance to the lowest polymorph of the same formula in kJ/mol of atoms: 20.23
Formation energy without anion corrections in eV/f.u.: -2.16



No. 6
The following is a PBE-GGA calculation of an optimized crystal structure of IrPb2W, from Alexandria via LeMat-Bulk.

Cell and atoms, written as extended XYZ:
```
4
Lattice="6.446 0.010 0.007 3.738 5.251 -0.007 -4.452 -3.870 2.599" Properties=species:S:1:pos:R:3 pbc="T T T"
Ir 2.516 2.175 1.296
Pb 0.333 0.172 0.000
Pb 3.282 -0.749 1.303
W 4.693 2.424 0.000
```

## Properties
Space-group type: Imm2
Formation enthalpy at 0 K in meV/atom: 720
Distance to the lowest polymorph of the same formula in kJ/mol of atoms: 41.95



No. 7
The following is a PBE-GGA calculation of an optimized crystal structure of LaSmCo, from Alexandria via LeMat-Bulk.

Cell and atoms, written as extended XYZ:
```
12
Lattice="3.709 0.000 0.000 0.000 12.291 0.000 0.000 0.000 6.897" Properties=species:S:1:pos:R:3 pbc="T T T"
La 2.782 12.030 1.715
La 2.782 6.406 5.164
La 0.927 0.261 5.182
La 0.927 5.884 1.734
Sm 0.927 9.225 3.467
Sm 2.782 3.080 6.879
Sm 0.927 9.211 0.018
Sm 2.782 3.066 3.430
Co 2.782 10.690 5.214
Co 2.782 7.747 1.766
Co 0.927 4.544 5.132
Co 0.927 1.601 1.683
```

## Properties
Space-group type: Pnma
Formation enthalpy at 0 K in meV/atom: -95
Distance to the lowest polymorph of the same formula in kJ/mol of atoms: 0.00



No. 8
The following is a PBE-GGA calculation of an optimized crystal structure of FeTe4Cl, from Alexandria via LeMat-Bulk.

Cell and atoms, written as extended XYZ:
```
6
Lattice="1.216 3.457 5.077 -2.674 -1.433 5.477 3.461 -2.373 4.647" Properties=species:S:1:pos:R:3 pbc="T T T"
Fe 0.000 0.000 0.000
Te -0.582 -0.846 8.437
Te 1.359 1.593 8.238
Te 2.478 -1.315 8.023
Te 0.752 -0.131 5.705
Cl 1.502 -0.262 11.401
```

## Properties
Space-group type: F-43m
Formation energy without anion corrections in eV/f.u.: 3.87



no.,uncorrected energy (eV per formula unit)
1,-10.75
2,-16.85
3,-29.74
4,-60.04
5,-15.78
6,-26.35
7,-17.04
8,-19.01